Compound: Y2PuScS4
Source: Alexandria
Functional: PBE-GGA
Structure: relaxed

Results
DFT total energy (eV per atom): -8.18
Magnetization (μB/cell): 5.8
Formation energy from raw total energies (eV per atom): -1.91

a = 6.713 Å, b = 3.863 Å, c = 6.713 Å
α = 90.00°, β = 109.21°, γ = 90.00°
Atoms (fractional coordinates):
1 Y 0.000 0.000 0.000
2 Y 0.500 0.500 0.000
3 Pu 0.000 0.500 0.500
4 Sc 0.500 0.000 0.500
5 S 0.257 0.000 0.746
6 S 0.261 0.500 0.260
7 S 0.739 0.500 0.740
8 S 0.743 0.000 0.254

---

Compound: Y2Pu3ScS6
Source: Alexandria
Functional: PBE-GGA
Structure: relaxed

Results
DFT total energy (eV per atom): -9.13
Magnetization (μB/cell): 17.1
Formation energy from raw total energies (eV per atom): -1.88

a = 8.736 Å, b = 8.736 Å, c = 7.833 Å
α = 103.47°, β = 103.47°, γ = 25.71°
Atoms (fractional coordinates):
1 Y 0.165 0.165 0.332
2 Y 0.835 0.835 0.668
3 Pu 0.168 0.168 0.834
4 Pu 0.500 0.500 0.500
5 Pu 0.832 0.832 0.166
6 Sc 0.500 0.500 0.000
7 S 0.001 0.001 0.763
8 S 0.333 0.333 0.418
9 S 0.339 0.339 0.918
10 S 0.661 0.661 0.082
11 S 0.667 0.667 0.582
12 S 0.999 0.999 0.237

---

Compound: Y3Pu2ScS6
Source: Alexandria
Functional: PBE-GGA
Structure: relaxed

Results
DFT total energy (eV per atom): -8.51
Magnetization (μB/cell): 11.5
Formation energy from raw total energies (eV per atom): -1.91

a = 8.706 Å, b = 8.706 Å, c = 7.812 Å
α = 103.09°, β = 103.09°, γ = 25.79°
Atoms (fractional coordinates):
1 Y 0.000 0.000 0.000
2 Y 0.332 0.332 0.666
3 Y 0.668 0.668 0.334
4 Pu 0.335 0.335 0.168
5 Pu 0.665 0.665 0.832
6 Sc 0.000 0.000 0.500
7 S 0.162 0.162 0.579
8 S 0.167 0.167 0.084
9 S 0.498 0.498 0.738
10 S 0.502 0.502 0.262
11 S 0.833 0.833 0.916
12 S 0.838 0.838 0.421